(1)
The following is a PBE-GGA calculation of a relaxed structure of La3SmTl, from Alexandria.

polymorph energy (0 for the lowest one)	26	meV/atom
calculated total energy	-22.26	eV/f.u.
D(E_F)	6.73	states/eV/f.u.

```
data_La3SmTl
_symmetry_space_group_name_H-M 'I m m 2'
_symmetry_Int_Tables_number 44
_cell_length_a 5.221
_cell_length_b 9.533
_cell_length_c 6.935
_cell_angle_alpha 90.00
_cell_angle_beta 90.00
_cell_angle_gamma 90.00
loop_
_symmetry_equiv_pos_as_xyz
'x,y,z'
'-x,-y,z'
'-x,y,z'
'x,-y,z'
'x+1/2,y+1/2,z+1/2'
'-x+1/2,-y+1/2,z+1/2'
'-x+1/2,y+1/2,z+1/2'
'x+1/2,-y+1/2,z+1/2'
loop_
_atom_site_label
_atom_site_type_symbol
_atom_site_fract_x
_atom_site_fract_y
_atom_site_fract_z
_atom_site_occupancy
La1 La 0.000 0.000 0.000 1
La2 La 0.000 0.301 0.725 1
Sm1 Sm 0.000 0.500 0.219 1
Tl1 Tl 0.000 0.000 0.458 1
```

(2)
The following is a PBE-GGA calculation of a relaxed structure of LaSm3Tl, from Alexandria.

polymorph energy (0 for the lowest one)	0	meV/atom
calculated total energy	-21.65	eV/f.u.
D(E_F)	6.29	states/eV/f.u.

```
data_LaSm3Tl
_symmetry_space_group_name_H-M 'P 1 21/c 1'
_symmetry_Int_Tables_number 14
_cell_length_a 9.618
_cell_length_b 6.876
_cell_length_c 11.531
_cell_angle_alpha 90.00
_cell_angle_beta 118.06
_cell_angle_gamma 90.00
loop_
_symmetry_equiv_pos_as_xyz
'x,y,z'
'-x,-y,-z'
'-x,y+1/2,-z+1/2'
'x,-y+1/2,z+1/2'
loop_
_atom_site_label
_atom_site_type_symbol
_atom_site_fract_x
_atom_site_fract_y
_atom_site_fract_z
_atom_site_occupancy
La1 La 0.047 0.243 0.392 1
Sm1 Sm 0.218 0.739 0.961 1
Sm2 Sm 0.291 0.017 0.237 1
Sm3 Sm 0.333 0.008 0.765 1
Tl1 Tl 0.419 0.219 0.532 1
```

(3)
The following is a PBE-GGA calculation of a relaxed structure of LaSmTl2, from Alexandria.

calculated total energy	-15.97	eV/f.u.
D(E_F)	3.02	states/eV/f.u.

```
data_LaSmTl2
_symmetry_space_group_name_H-M 'F m -3 m'
_symmetry_Int_Tables_number 225
_symmetry_space_group_name_Hall '-F 4 2 3'
_cell_length_a 7.856
_cell_length_b 7.856
_cell_length_c 7.856
_cell_angle_alpha 90.00
_cell_angle_beta 90.00
_cell_angle_gamma 90.00
loop_
_atom_site_label
_atom_site_type_symbol
_atom_site_fract_x
_atom_site_fract_y
_atom_site_fract_z
_atom_site_occupancy
La1 La 0.000 0.000 0.000 1
Sm1 Sm 0.000 0.000 0.500 1
Tl1 Tl 0.250 0.250 0.250 1
```

(4)
The following is a PBE-GGA calculation of a relaxed structure of La2Sm2Tl3, from Alexandria.

polymorph energy (0 for the lowest one)	0	meV/atom
calculated total energy	-28.33	eV/f.u.
D(E_F)	8.18	states/eV/f.u.

```
data_La2Sm2Tl3
_symmetry_space_group_name_H-M 'C m m m'
_symmetry_Int_Tables_number 65
_symmetry_space_group_name_Hall '-C 2 2'
_cell_length_a 3.626
_cell_length_b 33.126
_cell_length_c 3.604
_cell_angle_alpha 90.00
_cell_angle_beta 90.00
_cell_angle_gamma 90.00
loop_
_atom_site_label
_atom_site_type_symbol
_atom_site_fract_x
_atom_site_fract_y
_atom_site_fract_z
_atom_site_occupancy
La1 La 0.000 0.201 0.000 1
Sm1 Sm 0.000 0.066 0.000 1
Tl1 Tl 0.000 0.367 0.500 1
Tl2 Tl 0.000 0.500 0.500 1
```

(5)
The following is a PBE-GGA calculation of a relaxed structure of La5Sm12Tl2, from Alexandria.

calculated total energy	-85.99	eV/f.u.
D(E_F)	26.50	states/eV/f.u.

```
data_La5Sm12Tl2
_symmetry_space_group_name_H-M 'C 1 2/m 1'
_symmetry_Int_Tables_number 12
_cell_length_a 15.777
_cell_length_b 9.451
_cell_length_c 8.680
_cell_angle_alpha 90.00
_cell_angle_beta 93.26
_cell_angle_gamma 90.00
loop_
_symmetry_equiv_pos_as_xyz
'x,y,z'
'-x,-y,-z'
'-x,y,-z'
'x,-y,z'
'x+1/2,y+1/2,z'
'-x+1/2,-y+1/2,-z'
'-x+1/2,y+1/2,-z'
'x+1/2,-y+1/2,z'
loop_
_atom_site_label
_atom_site_type_symbol
_atom_site_fract_x
_atom_site_fract_y
_atom_site_fract_z
_atom_site_occupancy
La1 La 0.000 0.000 0.000 1
La2 La 0.192 0.500 0.509 1
La3 La 0.233 0.000 0.082 1
Sm1 Sm 0.054 0.500 0.822 1
Sm2 Sm 0.077 0.000 0.385 1
Sm3 Sm 0.125 0.308 0.165 1
Sm4 Sm 0.144 0.183 0.738 1
Tl1 Tl 0.000 0.317 0.500 1
```

(6)
The following is a PBE-GGA calculation of a relaxed structure of La3Sm3Tl, from Alexandria.

calculated total energy	-31.94	eV/f.u.
D(E_F)	8.61	states/eV/f.u.

```
data_La3Sm3Tl
_symmetry_space_group_name_H-M 'P 63/m'
_symmetry_Int_Tables_number 176
_symmetry_space_group_name_Hall '-P 6c'
_cell_length_a 9.6365
_cell_length_b 9.6365
_cell_length_c 5.7764
_cell_angle_alpha 90.00
_cell_angle_beta 90.00
_cell_angle_gamma 120.00
loop_
_atom_site_label
_atom_site_type_symbol
_atom_site_fract_x
_atom_site_fract_y
_atom_site_fract_z
_atom_site_occupancy
La1 La 0.1102 0.6314 0.2500 1
Sm1 Sm 0.0615 0.8212 0.7500 1
Tl1 Tl 0.3333 0.6667 0.7500 1
```

(7)
The following is a PBE-GGA calculation of a relaxed structure of LaSmTl2, from Alexandria.

calculated total energy	-16.00	eV/f.u.
D(E_F)	3.68	states/eV/f.u.

```
data_LaSmTl2
_symmetry_space_group_name_H-M 'P 4/m m m'
_symmetry_Int_Tables_number 123
_symmetry_space_group_name_Hall '-P 4 2'
_cell_length_a 3.909
_cell_length_b 3.909
_cell_length_c 7.887
_cell_angle_alpha 90.00
_cell_angle_beta 90.00
_cell_angle_gamma 90.00
loop_
_atom_site_label
_atom_site_type_symbol
_atom_site_fract_x
_atom_site_fract_y
_atom_site_fract_z
_atom_site_occupancy
La1 La 0.000 0.000 0.000 1
Sm1 Sm 0.000 0.000 0.500 1
Tl1 Tl 0.500 0.500 0.262 1
```

(8)
The following is a PBE-GGA calculation of a relaxed structure of LaSm7Tl5, from Alexandria.

calculated total energy	-52.33	eV/f.u.
D(E_F)	14.86	states/eV/f.u.

```
data_LaSm7Tl5
_symmetry_space_group_name_H-M 'I m m 2'
_symmetry_Int_Tables_number 44
_cell_length_a 6.681
_cell_length_b 10.882
_cell_length_c 11.163
_cell_angle_alpha 90.00
_cell_angle_beta 90.00
_cell_angle_gamma 90.00
loop_
_symmetry_equiv_pos_as_xyz
'x,y,z'
'-x,-y,z'
'-x,y,z'
'x,-y,z'
'x+1/2,y+1/2,z+1/2'
'-x+1/2,-y+1/2,z+1/2'
'-x+1/2,y+1/2,z+1/2'
'x+1/2,-y+1/2,z+1/2'
loop_
_atom_site_label
_atom_site_type_symbol
_atom_site_fract_x
_atom_site_fract_y
_atom_site_fract_z
_atom_site_occupancy
La1 La 0.000 0.000 0.000 1
Sm1 Sm 0.000 0.000 0.344 1
Sm2 Sm 0.000 0.000 0.662 1
Sm3 Sm 0.000 0.307 0.469 1
Sm4 Sm 0.000 0.340 0.986 1
Sm5 Sm 0.000 0.500 0.711 1
Tl1 Tl 0.000 0.500 0.242 1
Tl2 Tl 0.249 0.242 0.226 1
```

(9)
The following is a PBE-GGA calculation of a relaxed structure of LaSmTl6, from Alexandria.

calculated total energy	-26.47	eV/f.u.
D(E_F)	2.99	states/eV/f.u.

```
data_LaSmTl6
_symmetry_space_group_name_H-M 'P 4/m m m'
_symmetry_Int_Tables_number 123
_symmetry_space_group_name_Hall '-P 4 2'
_cell_length_a 4.853
_cell_length_b 4.853
_cell_length_c 9.683
_cell_angle_alpha 90.00
_cell_angle_beta 90.00
_cell_angle_gamma 90.00
loop_
_atom_site_label
_atom_site_type_symbol
_atom_site_fract_x
_atom_site_fract_y
_atom_site_fract_z
_atom_site_occupancy
La1 La 0.000 0.000 0.000 1
Sm1 Sm 0.000 0.000 0.500 1
Tl1 Tl 0.000 0.500 0.254 1
Tl2 Tl 0.500 0.500 0.000 1
Tl3 Tl 0.500 0.500 0.500 1
```

(10)
The following is a PBE-GGA calculation of a relaxed structure of La2Sm3Tl, from Alexandria.

calculated total energy	-26.80	eV/f.u.
D(E_F)	7.20	states/eV/f.u.

```
data_La2Sm3Tl
_symmetry_space_group_name_H-M 'C m m m'
_symmetry_Int_Tables_number 65
_symmetry_space_group_name_Hall '-C 2 2'
_cell_length_a 5.913
_cell_length_b 11.077
_cell_length_c 5.951
_cell_angle_alpha 90.00
_cell_angle_beta 90.00
_cell_angle_gamma 90.00
loop_
_atom_site_label
_atom_site_type_symbol
_atom_site_fract_x
_atom_site_fract_y
_atom_site_fract_z
_atom_site_occupancy
La1 La 0.000 0.158 0.000 1
Sm1 Sm 0.000 0.000 0.500 1
Sm2 Sm 0.000 0.344 0.500 1
Tl1 Tl 0.000 0.500 0.000 1
```

Number 1: DFT formation energy -0.079 eV per atom, volume 34.5 Å³ per atom. Number 2: DFT formation energy -0.041 eV per atom, volume 33.6 Å³ per atom. Number 3: DFT formation energy -0.398 eV per atom, volume 30.3 Å³ per atom. Number 4: DFT formation energy -0.276 eV per atom, volume 30.9 Å³ per atom. Number 5: DFT formation energy 0.000 eV per atom, volume 34.0 Å³ per atom. Number 6: DFT formation energy -0.090 eV per atom, volume 33.2 Å³ per atom. Number 7: DFT formation energy -0.406 eV per atom, volume 30.1 Å³ per atom. Number 8: DFT formation energy -0.195 eV per atom, volume 31.2 Å³ per atom. Number 9: DFT formation energy -0.328 eV per atom, volume 28.5 Å³ per atom. Number 10: DFT formation energy -0.071 eV per atom, volume 32.5 Å³ per atom.